# 1
The following is a SCAN calculation of a PBEsol-optimized structure of ScB2F, from the Alexandria database.

a = 7.6457 Å, b = 7.6457 Å, c = 3.6035 Å
α = 90.00°, β = 90.00°, γ = 90.00°
Last column: nearest neighbours and their distance in Å.
Space group I-42d (No. 122)
Symmetry-distinct sites (fractional):
Sc 0.0000 0.0000 0.0000 (multiplicity 4)  2 F 1.80
B 0.2406 0.2500 0.1250 (multiplicity 8)  2 B 1.81
F 0.0000 0.0000 0.5000 (multiplicity 4)  2 Sc 1.80

Summary:
- energy relative to the elements, uncorrected (kJ/mol of atoms) = -64
- total DFT energy (no corrections) (eV per atom) = -8.819
- V (Å³/atom) = 13.165


# 2
The following is a SCAN calculation of a PBEsol-optimized structure of Sc2BF, from the Alexandria database.

a = 5.9519 Å, b = 5.9519 Å, c = 5.9519 Å
α = 90.00°, β = 90.00°, γ = 90.00°
Last column: nearest neighbours and their distance in Å.
Space group Fm-3m (No. 225)
Symmetry-distinct sites (fractional):
Sc 0.2500 0.2500 0.2500 (multiplicity 8)  4 F 2.58, 4 B 2.58
B 0.0000 0.0000 0.0000 (multiplicity 4)  8 Sc 2.58
F 0.0000 0.0000 0.5000 (multiplicity 4)  8 Sc 2.58

Summary:
- energy relative to the lowest polymorph listed for this composition (meV/atom) = 174.5
- energy relative to the elements, uncorrected (kJ/mol of atoms) = -105
- total DFT energy (no corrections) (eV per atom) = -10.949
- V (Å³/atom) = 13.178


# 3
The following is a SCAN calculation of a PBEsol-optimized structure of SiBF2, from the Alexandria database.

a = 2.5188 Å, b = 2.5188 Å, c = 22.8512 Å
α = 90.00°, β = 90.00°, γ = 120.00°
Last column: nearest neighbours and their distance in Å.
Space group R-3m (No. 166, hexagonal axes)
Symmetry-distinct sites (fractional):
Si 0.0000 0.0000 0.0000 (multiplicity 3)  2 F 1.69
B 0.0000 0.0000 0.5000 (multiplicity 3)  6 B 2.52, 6 F 2.57
F 0.0000 0.0000 0.0738 (multiplicity 6)  1 Si 1.69

Summary:
- energy relative to the elements, uncorrected (kJ/mol of atoms) = -56
- total DFT energy (no corrections) (eV per atom) = -6.713
- V (Å³/atom) = 10.462


# 4
The following is a SCAN calculation of a PBEsol-optimized structure of Sn2BF7, from the Alexandria database.

a = 8.3548 Å, b = 5.3203 Å, c = 14.0684 Å
α = 90.00°, β = 90.00°, γ = 90.00°
Last column: nearest neighbours and their distance in Å.
Space group Pnma (No. 62)
Symmetry-distinct sites (fractional):
Sn 0.0155 0.2500 0.1886 (multiplicity 4)  3 F 2.13-2.16
Sn 0.2096 0.7500 0.4492 (multiplicity 4)  3 F 2.12
B 0.1914 0.2500 0.6257 (multiplicity 4)  4 F 1.41-1.42
F 0.0901 0.2500 0.0414 (multiplicity 4)  2 Sn 2.12-2.16
F 0.1057 0.0317 0.6513 (multiplicity 8)  1 B 1.41
F 0.1569 0.7500 0.1697 (multiplicity 4)  1 B 1.41
F 0.1680 0.9995 0.8567 (multiplicity 8)  2 Sn 2.12-2.13
F 0.2101 0.2500 0.5253 (multiplicity 4)  1 B 1.42

Summary:
- energy relative to the elements, uncorrected (kJ/mol of atoms) = -253
- total DFT energy (no corrections) (eV per atom) = -13.023
- V (Å³/atom) = 15.633


# 5
The following is a SCAN calculation of a PBEsol-optimized structure of Sn3BF9, from the Alexandria database.

a = 9.9527 Å, b = 7.4207 Å, c = 10.8722 Å
α = 90.00°, β = 96.87°, γ = 90.00°
Last column: nearest neighbours and their distance in Å.
Space group P2_1/c (No. 14)
Symmetry-distinct sites (fractional):
Sn 0.0577 0.1524 0.1813 (multiplicity 4)  4 F 2.22-2.44
Sn 0.1911 0.6028 0.0595 (multiplicity 4)  3 F 2.15-2.37
Sn 0.3212 0.0782 0.9313 (multiplicity 4)  3 F 2.11-2.19
B 0.4076 0.5694 0.7954 (multiplicity 4)  4 F 1.40-1.42
F 0.0236 0.5916 0.9033 (multiplicity 4)  2 Sn 2.22-2.23
F 0.0706 0.7476 0.1782 (multiplicity 4)  2 Sn 2.15-2.22
F 0.1609 0.6133 0.4598 (multiplicity 4)  2 Sn 2.19-2.37
F 0.1835 0.1098 0.7668 (multiplicity 4)  2 Sn 2.13-2.30
F 0.1936 0.2484 0.0207 (multiplicity 4)  1 Sn 2.11
F 0.3363 0.0805 0.3375 (multiplicity 4)  1 B 1.42
F 0.3545 0.6064 0.6708 (multiplicity 4)  1 B 1.42
F 0.3865 0.7187 0.8711 (multiplicity 4)  1 B 1.41
F 0.4544 0.0307 0.6988 (multiplicity 4)  1 B 1.40

Summary:
- energy relative to the elements, uncorrected (kJ/mol of atoms) = -246
- total DFT energy (no corrections) (eV per atom) = -13.864
- V (Å³/atom) = 15.331


# 6
The following is a SCAN calculation of a PBEsol-optimized structure of TaBF3, from the Alexandria database.

a = 4.1087 Å, b = 4.1087 Å, c = 4.1087 Å
α = 90.00°, β = 90.00°, γ = 90.00°
Last column: nearest neighbours and their distance in Å.
Space group Pm-3m (No. 221)
Symmetry-distinct sites (fractional):
Ta 0.0000 0.0000 0.0000 (multiplicity 1)  6 F 2.05
B 0.5000 0.5000 0.5000 (multiplicity 1)  12 F 2.91
F 0.0000 0.0000 0.5000 (multiplicity 3)  2 Ta 2.05

Summary:
- energy relative to the elements, uncorrected (kJ/mol of atoms) = -83
- total DFT energy (no corrections) (eV per atom) = -17.783
- V (Å³/atom) = 13.872


# 7
The following is a SCAN calculation of a PBEsol-optimized structure of TaB3F, from the Alexandria database.

a = 4.3433 Å, b = 4.3433 Å, c = 4.3433 Å
α = 90.00°, β = 90.00°, γ = 90.00°
Last column: nearest neighbours and their distance in Å.
Space group Pm-3m (No. 221)
Symmetry-distinct sites (fractional):
Ta 0.0000 0.0000 0.0000 (multiplicity 1)  6 B 2.17
B 0.0000 0.0000 0.5000 (multiplicity 3)  2 Ta 2.17
F 0.5000 0.5000 0.5000 (multiplicity 1)  12 B 3.07

Summary:
- energy relative to the elements, uncorrected (kJ/mol of atoms) = 167
- total DFT energy (no corrections) (eV per atom) = -16.754
- V (Å³/atom) = 16.387


# 8
The following is a SCAN calculation of a PBEsol-optimized structure of Tc2BF, from the Alexandria database.

a = 5.4989 Å, b = 5.4989 Å, c = 5.4989 Å
α = 90.00°, β = 90.00°, γ = 90.00°
Last column: nearest neighbours and their distance in Å.
Space group Fm-3m (No. 225)
Symmetry-distinct sites (fractional):
Tc 0.2500 0.2500 0.2500 (multiplicity 8)  4 B 2.38, 4 F 2.38
B 0.0000 0.0000 0.0000 (multiplicity 4)  8 Tc 2.38
F 0.0000 0.0000 0.5000 (multiplicity 4)  8 Tc 2.38

Summary:
- energy relative to the elements, uncorrected (kJ/mol of atoms) = 18
- total DFT energy (no corrections) (eV per atom) = -20.090
- V (Å³/atom) = 10.392


# 9
The following is a SCAN calculation of a PBEsol-optimized structure of TiBF3, from the Alexandria database.

a = 3.8348 Å, b = 3.8348 Å, c = 3.8348 Å
α = 90.00°, β = 90.00°, γ = 90.00°
Last column: nearest neighbours and their distance in Å.
Space group Pm-3m (No. 221)
Symmetry-distinct sites (fractional):
Ti 0.0000 0.0000 0.0000 (multiplicity 1)  12 F 2.71
B 0.5000 0.5000 0.5000 (multiplicity 1)  6 F 1.92
F 0.0000 0.5000 0.5000 (multiplicity 3)  2 B 1.92

Summary:
- energy relative to the elements, uncorrected (kJ/mol of atoms) = -82
- total DFT energy (no corrections) (eV per atom) = -7.666
- V (Å³/atom) = 11.279


# 10
The following is a SCAN calculation of a PBEsol-optimized structure of TiB3F, from the Alexandria database.

a = 4.2821 Å, b = 4.2821 Å, c = 4.2821 Å
α = 90.00°, β = 90.00°, γ = 90.00°
Last column: nearest neighbours and their distance in Å.
Space group Pm-3m (No. 221)
Symmetry-distinct sites (fractional):
Ti 0.0000 0.0000 0.0000 (multiplicity 1)  6 B 2.14
B 0.0000 0.0000 0.5000 (multiplicity 3)  2 Ti 2.14
F 0.5000 0.5000 0.5000 (multiplicity 1)  12 B 3.03

Summary:
- energy relative to the elements, uncorrected (kJ/mol of atoms) = 174
- total DFT energy (no corrections) (eV per atom) = -6.570
- V (Å³/atom) = 15.704


# 11
The following is a SCAN calculation of a PBEsol-optimized structure of BW3F, from the Alexandria database.

a = 4.1674 Å, b = 4.1674 Å, c = 4.1674 Å
α = 90.00°, β = 90.00°, γ = 90.00°
Last column: nearest neighbours and their distance in Å.
Space group Pm-3m (No. 221)
Symmetry-distinct sites (fractional):
B 0.0000 0.0000 0.0000 (multiplicity 1)  6 W 2.08
W 0.0000 0.0000 0.5000 (multiplicity 3)  2 B 2.08
F 0.5000 0.5000 0.5000 (multiplicity 1)  12 W 2.95

Summary:
- energy relative to the elements, uncorrected (kJ/mol of atoms) = 102
- total DFT energy (no corrections) (eV per atom) = -42.948
- V (Å³/atom) = 14.475


# 12
The following is a SCAN calculation of a PBEsol-optimized structure of YB3F, from the Alexandria database.

a = 3.9311 Å, b = 3.9311 Å, c = 3.9311 Å
α = 90.00°, β = 90.00°, γ = 90.00°
Last column: nearest neighbours and their distance in Å.
Space group Pm-3m (No. 221)
Symmetry-distinct sites (fractional):
Y 0.0000 0.0000 0.0000 (multiplicity 1)  12 B 2.78
B 0.0000 0.5000 0.5000 (multiplicity 3)  2 F 1.97
F 0.5000 0.5000 0.5000 (multiplicity 1)  6 B 1.97

Summary:
- energy relative to the elements, uncorrected (kJ/mol of atoms) = 100
- total DFT energy (no corrections) (eV per atom) = -9.696
- V (Å³/atom) = 12.150


# 13
The following is a SCAN calculation of a PBEsol-optimized structure of Zn3BF, from the Alexandria database.

a = 4.0706 Å, b = 4.0706 Å, c = 4.0706 Å
α = 90.00°, β = 90.00°, γ = 90.00°
Last column: nearest neighbours and their distance in Å.
Space group Pm-3m (No. 221)
Symmetry-distinct sites (fractional):
Zn 0.0000 0.0000 0.5000 (multiplicity 3)  2 B 2.04
B 0.0000 0.0000 0.0000 (multiplicity 1)  6 Zn 2.04
F 0.5000 0.5000 0.5000 (multiplicity 1)  12 Zn 2.88

Summary:
- energy relative to the elements, uncorrected (kJ/mol of atoms) = -44
- total DFT energy (no corrections) (eV per atom) = -10.763
- V (Å³/atom) = 13.490


# 14
The following is a SCAN calculation of a PBEsol-optimized structure of ZnB2F, from the Alexandria database.

a = 3.1023 Å, b = 3.1023 Å, c = 20.0549 Å
α = 90.00°, β = 90.00°, γ = 90.00°
Last column: nearest neighbours and their distance in Å.
Space group I4_1/amd (No. 141, origin choice 2)
Symmetry-distinct sites (fractional):
Zn 0.0000 0.2500 0.3750 (multiplicity 4)  4 F 2.19
B 0.0000 0.0000 0.0000 (multiplicity 8)  2 B 1.55
F 0.0000 0.2500 0.8750 (multiplicity 4)  4 Zn 2.19

Summary:
- energy relative to the elements, uncorrected (kJ/mol of atoms) = 3
- total DFT energy (no corrections) (eV per atom) = -7.945
- V (Å³/atom) = 12.063


# 15
The following is a SCAN calculation of a PBEsol-optimized structure of Fe2B7, from the Alexandria database.

a = 10.5698 Å, b = 16.7110 Å, c = 2.8616 Å
α = 90.00°, β = 90.00°, γ = 90.00°
Last column: nearest neighbours and their distance in Å.
Space group Pbam (No. 55)
Symmetry-distinct sites (fractional):
Fe 0.0313 0.2211 0.0000 (multiplicity 4)  9 B 1.99-2.19
Fe 0.1076 0.9666 0.0000 (multiplicity 4)  10 B 2.04-2.26
Fe 0.1800 0.6217 0.5000 (multiplicity 4)  5 B 1.95-2.10
Fe 0.2342 0.3862 0.5000 (multiplicity 4)  5 B 1.93-2.16
B 0.0243 0.3987 0.5000 (multiplicity 4)  6 B 1.80-1.85
B 0.0379 0.0475 0.5000 (multiplicity 4)  4 B 1.66-1.80
B 0.0449 0.7012 0.5000 (multiplicity 4)  3 B 1.62-1.80
B 0.0535 0.8680 0.5000 (multiplicity 4)  4 B 1.71-1.88
B 0.0584 0.5542 0.0000 (multiplicity 4)  4 B 1.67-1.85
B 0.0992 0.4444 0.0000 (multiplicity 4)  4 B 1.67-1.80
B 0.1081 0.3025 0.5000 (multiplicity 4)  1 B 1.62
B 0.1238 0.1407 0.5000 (multiplicity 4)  5 B 1.80-1.92
B 0.1395 0.8393 0.0000 (multiplicity 4)  3 B 1.76-1.77
B 0.1446 0.7196 0.0000 (multiplicity 4)  3 B 1.70-1.80
B 0.1939 0.0345 0.5000 (multiplicity 4)  3 B 1.66-1.76
B 0.2074 0.1795 0.0000 (multiplicity 4)  4 B 1.70-1.85
B 0.2119 0.2902 0.0000 (multiplicity 4)  5 B 1.77-1.92
B 0.2128 0.5195 0.0000 (multiplicity 4)  4 B 1.73-1.76

Summary:
- total DFT energy (no corrections) (eV per atom) = -9.960
- DFT formation energy (eV per atom) = -0.153
- V (Å³/atom) = 7.020


# 16
The following is a SCAN calculation of a PBEsol-optimized structure of Fe2B, from the Alexandria database.

a = 4.9717 Å, b = 4.9717 Å, c = 4.1463 Å
α = 90.00°, β = 90.00°, γ = 90.00°
Last column: nearest neighbours and their distance in Å.
Space group I4/mcm (No. 140)
Symmetry-distinct sites (fractional):
Fe 0.1652 0.3348 0.0000 (multiplicity 8)  4 B 2.13, 1 Fe 2.32
B 0.0000 0.0000 0.2500 (multiplicity 4)  2 B 2.07, 8 Fe 2.13

Summary:
- total DFT energy (no corrections) (eV per atom) = -14.868
- DFT formation energy (eV per atom) = -0.306
- V (Å³/atom) = 8.540


# 17
The following is a SCAN calculation of a PBEsol-optimized structure of GdFeB4, from the Alexandria database.

a = 5.8826 Å, b = 11.3874 Å, c = 3.3411 Å
α = 90.00°, β = 90.00°, γ = 90.00°
Last column: nearest neighbours and their distance in Å.
Space group Pbam (No. 55)
Symmetry-distinct sites (fractional):
Gd 0.1263 0.1504 0.0000 (multiplicity 4)  14 B 2.57-2.69
Fe 0.1316 0.4124 0.0000 (multiplicity 4)  10 B 2.18-2.26
B 0.0242 0.6897 0.5000 (multiplicity 4)  3 B 1.72-1.85
B 0.1111 0.5457 0.5000 (multiplicity 4)  3 B 1.67-1.72
B 0.1400 0.9676 0.5000 (multiplicity 4)  3 B 1.71-1.80
B 0.2197 0.8168 0.5000 (multiplicity 4)  3 B 1.78-1.85

Summary:
- total DFT energy (no corrections) (eV per atom) = -18.334
- DFT formation energy (eV per atom) = -0.557
- V (Å³/atom) = 9.326


# 18
The following is a SCAN calculation of a PBEsol-optimized structure of FeBH3, from the Alexandria database.

a = 3.0292 Å, b = 3.0292 Å, c = 3.0292 Å
α = 90.00°, β = 90.00°, γ = 90.00°
Last column: nearest neighbours and their distance in Å.
Space group Pm-3m (No. 221)
Symmetry-distinct sites (fractional):
Fe 0.0000 0.0000 0.0000 (multiplicity 1)  6 H 1.51
B 0.5000 0.5000 0.5000 (multiplicity 1)  12 H 2.14
H 0.0000 0.0000 0.5000 (multiplicity 3)  2 Fe 1.51

Summary:
- energy relative to the lowest polymorph listed for this composition (meV/atom) = 229.8
- total DFT energy (no corrections) (eV per atom) = -6.097
- V (Å³/atom) = 5.559


# 19
The following is a SCAN calculation of a PBEsol-optimized structure of FeBH3, from the Alexandria database.

a = 2.9697 Å, b = 2.9697 Å, c = 2.9697 Å
α = 90.00°, β = 90.00°, γ = 90.00°
Last column: nearest neighbours and their distance in Å.
Space group Pm-3m (No. 221)
Symmetry-distinct sites (fractional):
Fe 0.0000 0.0000 0.0000 (multiplicity 1)  12 H 2.10
B 0.5000 0.5000 0.5000 (multiplicity 1)  6 H 1.48
H 0.0000 0.5000 0.5000 (multiplicity 3)  2 B 1.48

Summary:
- energy relative to the lowest polymorph listed for this composition (meV/atom) = 0.0
- total DFT energy (no corrections) (eV per atom) = -6.327
- V (Å³/atom) = 5.238